# SCAN Tc2O7, PBEsol geometry
# - E: -14.08 eV per atom
# - Formation energy from raw total energies: -139.0 kJ/mol of atoms
# - DOS(E_F): 0.0 states/eV/cell
# - Mass density: 3.6 g/cm³
data_Tc2O7
_space_group_name_H-M_alt 'P b c a'
_space_group_IT_number 61
_cell_length_a 5.513
_cell_length_b 14.021
_cell_length_c 7.331
_cell_angle_alpha 90.00
_cell_angle_beta 90.00
_cell_angle_gamma 90.00
loop_
_space_group_symop_operation_xyz
'x,y,z'
'-x,-y,-z'
'-x+1/2,-y,z+1/2'
'x+1/2,y,-z+1/2'
'x+1/2,-y+1/2,-z'
'-x+1/2,y+1/2,z'
'-x,y+1/2,-z+1/2'
'x,-y+1/2,z+1/2'
loop_
_atom_site_label
_atom_site_type_symbol
_atom_site_fract_x
_atom_site_fract_y
_atom_site_fract_z
_atom_site_occupancy
Tc1 Tc 0.198 0.105 0.020 1
O1 O 0.000 0.000 0.000 1
O2 O 0.061 0.206 0.958 1
O3 O 0.066 0.587 0.879 1
O4 O 0.190 0.617 0.233 1


# SCAN MgH6S4O16, PBEsol geometry
# - E: -7.57 eV per atom
# - DOS(E_F): 0.0 states/eV/cell
# - Mass density: 2.2 g/cm³
data_MgH6S4O16
_space_group_name_H-M_alt 'P 1 21/c 1'
_space_group_IT_number 14
_cell_length_a 5.172
_cell_length_b 15.054
_cell_length_c 8.223
_cell_angle_alpha 90.00
_cell_angle_beta 103.73
_cell_angle_gamma 90.00
loop_
_space_group_symop_operation_xyz
'x,y,z'
'-x,-y,-z'
'-x,y+1/2,-z+1/2'
'x,-y+1/2,z+1/2'
loop_
_atom_site_label
_atom_site_type_symbol
_atom_site_fract_x
_atom_site_fract_y
_atom_site_fract_z
_atom_site_occupancy
Mg1 Mg 0.000 0.000 0.000 1
H1 H 0.205 0.236 0.809 1
H2 H 0.287 0.526 0.120 1
H3 H 0.419 0.736 0.828 1
S1 S 0.113 0.664 0.245 1
S2 S 0.425 0.087 0.778 1
O1 O 0.026 0.106 0.165 1
O2 O 0.083 0.226 0.369 1
O3 O 0.266 0.623 0.139 1
O4 O 0.279 0.062 0.901 1
O5 O 0.294 0.564 0.673 1
O6 O 0.294 0.723 0.378 1
O7 O 0.299 0.043 0.608 1
O8 O 0.392 0.184 0.739 1


# SCAN RbZn2P2HO8, PBEsol geometry
# - E: -10.88 eV per atom
# - DOS(E_F): 0.0 states/eV/cell
# - Mass density: 3.3 g/cm³
data_RbZn2P2HO8
_space_group_name_H-M_alt 'P -1'
_space_group_IT_number 2
_cell_length_a 5.241
_cell_length_b 8.847
_cell_length_c 9.738
_cell_angle_alpha 75.19
_cell_angle_beta 77.66
_cell_angle_gamma 73.46
loop_
_space_group_symop_operation_xyz
'x,y,z'
'-x,-y,-z'
loop_
_atom_site_label
_atom_site_type_symbol
_atom_site_fract_x
_atom_site_fract_y
_atom_site_fract_z
_atom_site_occupancy
Rb1 Rb 0.208 0.204 0.323 1
Zn1 Zn 0.111 0.119 0.770 1
Zn2 Zn 0.307 0.387 0.889 1
P1 P 0.169 0.745 0.950 1
P2 P 0.394 0.745 0.390 1
H1 H 0.448 0.568 0.603 1
O1 O 0.026 0.269 0.901 1
O2 O 0.065 0.907 0.851 1
O3 O 0.089 0.795 0.391 1
O4 O 0.143 0.612 0.882 1
O5 O 0.442 0.688 0.552 1
O6 O 0.457 0.728 0.974 1
O7 O 0.468 0.401 0.685 1
O8 O 0.480 0.113 0.678 1


# SCAN NbInPS2, PBEsol geometry
# - E: -19.48 eV per atom
# - Formation energy from raw total energies: -24.2 kJ/mol of atoms
# - DOS(E_F): 2.2 states/eV/cell
# - Mass density: 4.5 g/cm³
# - Distance to the lowest polymorph of the same formula: 0 meV per atom
data_NbInPS2
_space_group_name_H-M_alt 'P 4/m m m'
_space_group_IT_number 123
_space_group_name_Hall '-P 4 2'
_cell_length_a 4.754
_cell_length_b 4.754
_cell_length_c 4.933
_cell_angle_alpha 90.00
_cell_angle_beta 90.00
_cell_angle_gamma 90.00
loop_
_atom_site_label
_atom_site_type_symbol
_atom_site_fract_x
_atom_site_fract_y
_atom_site_fract_z
_atom_site_occupancy
Nb1 Nb 0.000 0.000 0.000 1
In1 In 0.500 0.500 0.500 1
P1 P 0.000 0.000 0.500 1
S1 S 0.000 0.500 0.000 1


# SCAN Sr4Ta2O9, PBEsol geometry
# - E: -21.82 eV per atom
# - Formation energy from raw total energies: -314.8 kJ/mol of atoms
# - DOS(E_F): 0.0 states/eV/cell
# - Mass density: 6.1 g/cm³
# - Distance to the lowest polymorph of the same formula: 6 meV per atom
data_Sr4Ta2O9
_space_group_name_H-M_alt 'P -1'
_space_group_IT_number 2
_cell_length_a 5.860
_cell_length_b 5.860
_cell_length_c 15.672
_cell_angle_alpha 90.00
_cell_angle_beta 90.00
_cell_angle_gamma 60.00
loop_
_space_group_symop_operation_xyz
'x,y,z'
'-x,-y,-z'
loop_
_atom_site_label
_atom_site_type_symbol
_atom_site_fract_x
_atom_site_fract_y
_atom_site_fract_z
_atom_site_occupancy
Sr1 Sr 0.000 0.000 0.000 1
Sr2 Sr 0.000 0.000 0.250 1
Sr3 Sr 0.000 0.000 0.500 1
Sr4 Sr 0.333 0.333 0.362 1
Sr5 Sr 0.334 0.333 0.138 1
Ta1 Ta 0.333 0.333 0.655 1
Ta2 Ta 0.333 0.334 0.845 1
O1 O 0.039 0.552 0.750 1
O2 O 0.079 0.269 0.897 1
O3 O 0.080 0.269 0.603 1
O4 O 0.268 0.652 0.897 1
O5 O 0.269 0.651 0.603 1
O6 O 0.348 0.921 0.397 1
O7 O 0.349 0.920 0.103 1
O8 O 0.409 0.039 0.750 1
O9 O 0.448 0.591 0.250 1


# SCAN KLaRu2, PBEsol geometry
# - Energy of formation: 0.35 eV/atom
# - E: -29.92 eV per atom
# - DOS(E_F): 2.5 states/eV/cell
# - Mass density: 6.1 g/cm³
# - Distance to the lowest polymorph of the same formula: 0 meV per atom
data_KLaRu2
_space_group_name_H-M_alt 'P 1 m 1'
_space_group_IT_number 6
_cell_length_a 3.021
_cell_length_b 3.790
_cell_length_c 9.078
_cell_angle_alpha 90.00
_cell_angle_beta 92.60
_cell_angle_gamma 90.00
loop_
_space_group_symop_operation_xyz
'x,y,z'
'x,-y,z'
loop_
_atom_site_label
_atom_site_type_symbol
_atom_site_fract_x
_atom_site_fract_y
_atom_site_fract_z
_atom_site_occupancy
K1 K 0.000 0.000 0.000 1
La1 La 0.574 0.500 0.573 1
Ru1 Ru 0.036 0.000 0.368 1
Ru2 Ru 0.524 0.500 0.281 1


# SCAN KAgIr3, PBEsol geometry
# - Energy of formation: 2.22 eV/atom
# - E: -48.38 eV per atom
# - DOS(E_F): 6.3 states/eV/cell
# - Mass density: 10.5 g/cm³
data_KAgIr3
_space_group_name_H-M_alt 'P m -3 m'
_space_group_IT_number 221
_space_group_name_Hall '-P 4 2 3'
_cell_length_a 4.858
_cell_length_b 4.858
_cell_length_c 4.858
_cell_angle_alpha 90.00
_cell_angle_beta 90.00
_cell_angle_gamma 90.00
loop_
_atom_site_label
_atom_site_type_symbol
_atom_site_fract_x
_atom_site_fract_y
_atom_site_fract_z
_atom_site_occupancy
K1 K 0.000 0.000 0.000 1
Ag1 Ag 0.500 0.500 0.500 1
Ir1 Ir 0.000 0.500 0.500 1


# SCAN BeReSi, PBEsol geometry
# - E: -28.24 eV per atom
# - Formation energy from raw total energies: 24.3 kJ/mol of atoms
# - DOS(E_F): 2.6 states/eV/cell
# - Mass density: 9.3 g/cm³
data_BeReSi
_space_group_name_H-M_alt 'C 1 m 1'
_space_group_IT_number 8
_cell_length_a 3.077
_cell_length_b 4.392
_cell_length_c 5.931
_cell_angle_alpha 90.00
_cell_angle_beta 90.13
_cell_angle_gamma 90.00
loop_
_space_group_symop_operation_xyz
'x,y,z'
'x,-y,z'
'x+1/2,y+1/2,z'
'x+1/2,-y+1/2,z'
loop_
_atom_site_label
_atom_site_type_symbol
_atom_site_fract_x
_atom_site_fract_y
_atom_site_fract_z
_atom_site_occupancy
Be1 Be 0.000 0.000 0.000 1
Re1 Re 0.498 0.000 0.697 1
Si1 Si 0.497 0.500 0.376 1


Copy entry 1 word for word.
# SCAN Tc2O7, PBEsol geometry
# - E: -14.08 eV per atom
# - Formation energy from raw total energies: -139.0 kJ/mol of atoms
# - DOS(E_F): 0.0 states/eV/cell
# - Mass density: 3.6 g/cm³
data_Tc2O7
_space_group_name_H-M_alt 'P b c a'
_space_group_IT_number 61
_cell_length_a 5.513
_cell_length_b 14.021
_cell_length_c 7.331
_cell_angle_alpha 90.00
_cell_angle_beta 90.00
_cell_angle_gamma 90.00
loop_
_space_group_symop_operation_xyz
'x,y,z'
'-x,-y,-z'
'-x+1/2,-y,z+1/2'
'x+1/2,y,-z+1/2'
'x+1/2,-y+1/2,-z'
'-x+1/2,y+1/2,z'
'-x,y+1/2,-z+1/2'
'x,-y+1/2,z+1/2'
loop_
_atom_site_label
_atom_site_type_symbol
_atom_site_fract_x
_atom_site_fract_y
_atom_site_fract_z
_atom_site_occupancy
Tc1 Tc 0.198 0.105 0.020 1
O1 O 0.000 0.000 0.000 1
O2 O 0.061 0.206 0.958 1
O3 O 0.066 0.587 0.879 1
O4 O 0.190 0.617 0.233 1


Question: What is the formula in the sixth record?
Answer: KLaRu2